Material: BaFeW2
Method: DFT, PBE
State: optimized geometry

Properties
Symmetry: No. 166
Energy relative to the elements, eV per atom: 0.807
E above lowest polymorph, meV/atom: 23.5

Cell lengths 6.873, 6.873, 6.873 Å; angles 35.35, 35.35, 35.35 degrees
Positions (direct):
Ba (0.000, 0.000, 0.000)
Fe (0.500, 0.500, 0.500)
W (0.198, 0.198, 0.198)
W (0.802, 0.802, 0.802)


Material: BaFeW2
Method: DFT, PBE
State: optimized geometry

Properties
Symmetry: No. 65
Energy relative to the elements, eV per atom: 1.569
E above lowest polymorph, meV/atom: 785.1

Cell lengths 5.946, 5.946, 2.796 Å; angles 90.00, 90.00, 125.83 degrees
Positions (direct):
Ba (0.000, 0.000, 0.000)
Fe (0.500, 0.500, 0.000)
W (0.000, 0.500, 0.500)
W (0.500, 0.000, 0.500)


Material: BaFeW2
Method: DFT, PBE
State: optimized geometry

Properties
Symmetry: No. 47
Energy relative to the elements, eV per atom: 1.430
E above lowest polymorph, meV/atom: 646.1

Cell lengths 3.102, 4.648, 5.436 Å; angles 90.00, 90.00, 90.00 degrees
Positions (direct):
Ba (0.000, 0.000, 0.000)
Fe (0.500, 0.500, 0.000)
W (0.000, 0.500, 0.500)
W (0.500, 0.000, 0.500)